Fe3O2F4 | GGA+U | relaxed

Lattice parameters (Å, degrees): 4.755 5.713 7.932 94.00 90.17 91.02
Space group P-1 (No. 2)
Symmetry-distinct sites (fractional):
Fe (0.000, 0.000, 0.000) x1
Fe (0.003, 0.355, 0.357) x2
Fe (0.450, 0.170, 0.684) x2
Fe (0.500, 0.500, 0.000) x1
O (0.210, 0.362, 0.570) x2
O (0.294, 0.193, 0.906) x2
F (0.179, 0.710, 0.886) x2
F (0.207, 0.036, 0.237) x2
F (0.293, 0.555, 0.238) x2
F (0.307, 0.871, 0.562) x2

Calculated values
Final energy (eV/atom): -5.82
Excess energy over the best structure of this formula in the dataset (eV/atom): 0.032
Spin magnetization (Bohr magnetons per cell): 28.00